Material: AcMgPb2
Method: DFT, PBE
State: optimized geometry

The symmetry is P4/mmm (123). Its formation energy is -1.00 eV per formula unit.

Unit cell a=3.962 b=3.962 c=7.819 alpha=90.00 beta=90.00 gamma=90.00
Atoms (fractional coordinates):
Ac 0.000 0.000 0.000
Mg 0.000 0.000 0.500
Pb 0.500 0.500 0.291
Pb 0.500 0.500 0.709

Material: Pu2Pa2C3
Method: DFT, PBE
State: optimized geometry

The symmetry is C2/m (12). Its formation energy is -1.18 eV per formula unit.

Unit cell a=6.115 b=6.115 c=6.061 alpha=99.30 beta=99.30 gamma=33.51
Atoms (fractional coordinates):
Pu 0.125 0.125 0.377
Pu 0.875 0.875 0.623
Pa 0.375 0.375 0.132
Pa 0.625 0.625 0.868
C 0.000 0.000 0.000
C 0.259 0.259 0.765
C 0.741 0.741 0.235

Material: Ce3DyTc
Method: DFT, PBE
State: optimized geometry

As for the polymorph energy (0 for the lowest one): 0.000 eV per atom. The symmetry is P-1 (2). Its formation energy is -0.06 eV per formula unit.

Unit cell a=3.389 b=6.256 c=11.892 alpha=89.44 beta=88.17 gamma=75.37
Atoms (fractional coordinates):
Ce 0.072 0.416 0.322
Ce 0.153 0.222 0.038
Ce 0.299 0.781 0.496
Ce 0.701 0.219 0.504
Ce 0.847 0.778 0.962
Ce 0.928 0.584 0.678
Dy 0.229 0.063 0.760
Dy 0.771 0.937 0.240
Tc 0.477 0.572 0.131
Tc 0.523 0.428 0.869

Material: Dy3Tm3PuSe8
Method: DFT, PBE
State: optimized geometry

The symmetry is R-3m (166). The value obtained for the raw formation energy is -1.75 eV per atom.

Unit cell a=8.086 b=8.086 c=8.086 alpha=59.95 beta=59.95 gamma=59.95
Atoms (fractional coordinates):
Dy 0.000 0.500 0.500
Dy 0.500 0.000 0.500
Dy 0.500 0.500 0.000
Tm 0.000 0.000 0.500
Tm 0.000 0.500 0.000
Tm 0.500 0.000 0.000
Pu 0.500 0.500 0.500
Se 0.239 0.758 0.758
Se 0.242 0.242 0.761
Se 0.242 0.761 0.242
Se 0.248 0.248 0.248
Se 0.752 0.752 0.752
Se 0.758 0.239 0.758
Se 0.758 0.758 0.239
Se 0.761 0.242 0.242

Material: CaCuSbBr2
Method: DFT, PBE
State: optimized geometry

As for the polymorph energy (0 for the lowest one): 0.000 eV per atom. The symmetry is P4/mmm (123). The value obtained for the raw formation energy is -0.40 eV per atom.

Unit cell a=5.038 b=5.038 c=5.412 alpha=90.00 beta=90.00 gamma=90.00
Atoms (fractional coordinates):
Ca 0.000 0.000 0.000
Cu 0.500 0.500 0.500
Sb 0.500 0.500 0.000
Br 0.000 0.500 0.500
Br 0.500 0.000 0.500

Material: Te3OsN
Method: DFT, PBE
State: optimized geometry

As for the polymorph energy (0 for the lowest one): 0.000 eV per atom. The symmetry is Pm-3m (221). The value obtained for the raw formation energy is 1.31 eV per atom.

Unit cell a=4.600 b=4.600 c=4.600 alpha=90.00 beta=90.00 gamma=90.00
Atoms (fractional coordinates):
Te 0.000 0.000 0.500
Te 0.000 0.500 0.000
Te 0.500 0.000 0.000
Os 0.500 0.500 0.500
N 0.000 0.000 0.000

| no. | V (Å³ per cell) |
| --- | --- |
| 1 | 122.7 |
| 2 | 123.3 |
| 3 | 243.9 |
| 4 | 373.4 |
| 5 | 137.4 |
| 6 | 97.3 |